(1)
A plane-wave DFT calculation with PBE was carried out for Tb4ScHg5 after structural relaxation.

Lattice parameters (Å, degrees): 3.681 3.681 18.622 90.00 90.00 90.00
Fractional positions:
Tb 0.000 0.000 0.102
Tb 0.000 0.000 0.307
Tb 0.000 0.000 0.693
Tb 0.000 0.000 0.898
Sc 0.000 0.000 0.500
Hg 0.500 0.500 0.000
Hg 0.500 0.500 0.204
Hg 0.500 0.500 0.411
Hg 0.500 0.500 0.589
Hg 0.500 0.500 0.796

Electronic total energy   -0.22786 Ry per atom

---

(2)
A plane-wave DFT calculation with PBE was carried out for Tb2Sc2Hg3 after structural relaxation.

Lattice parameters (Å, degrees): 3.687 26.826 3.597 90.00 90.00 90.00
Fractional positions:
Tb 0.000 0.072 0.000
Tb 0.000 0.928 0.000
Tb 0.500 0.428 0.000
Tb 0.500 0.572 0.000
Sc 0.000 0.202 0.000
Sc 0.000 0.798 0.000
Sc 0.500 0.298 0.000
Sc 0.500 0.702 0.000
Hg 0.000 0.353 0.500
Hg 0.000 0.500 0.500
Hg 0.000 0.647 0.500
Hg 0.500 0.000 0.500
Hg 0.500 0.147 0.500
Hg 0.500 0.853 0.500

Electronic total energy   -0.26069 Ry per atom

---

(3)
A plane-wave DFT calculation with PBE was carried out for TbSc2Hg5 after structural relaxation.

Lattice parameters (Å, degrees): 5.025 5.025 14.459 90.00 90.00 90.00
Fractional positions:
Tb 0.000 0.000 0.000
Tb 0.500 0.500 0.500
Sc 0.000 0.000 0.262
Sc 0.000 0.000 0.738
Sc 0.500 0.500 0.238
Sc 0.500 0.500 0.762
Hg 0.000 0.000 0.500
Hg 0.000 0.500 0.133
Hg 0.000 0.500 0.367
Hg 0.000 0.500 0.633
Hg 0.000 0.500 0.867
Hg 0.500 0.000 0.133
Hg 0.500 0.000 0.367
Hg 0.500 0.000 0.633
Hg 0.500 0.000 0.867
Hg 0.500 0.500 0.000

Electronic total energy   -0.20069 Ry per atom

---

(4)
A plane-wave DFT calculation with PBE was carried out for Tb3Sc2Hg2 after structural relaxation.

Lattice parameters (Å, degrees): 4.799 22.066 3.453 90.00 90.00 90.00
Fractional positions:
Tb 0.000 0.000 0.000
Tb 0.000 0.151 0.000
Tb 0.000 0.849 0.000
Tb 0.500 0.349 0.000
Tb 0.500 0.500 0.000
Tb 0.500 0.651 0.000
Sc 0.000 0.287 0.500
Sc 0.000 0.713 0.500
Sc 0.500 0.213 0.500
Sc 0.500 0.787 0.500
Hg 0.000 0.426 0.500
Hg 0.000 0.574 0.500
Hg 0.500 0.074 0.500
Hg 0.500 0.926 0.500

Electronic total energy   -0.29644 Ry per atom

---

(5)
A plane-wave DFT calculation with PBE was carried out for Tb6ScHg2 after structural relaxation.

Lattice parameters (Å, degrees): 6.488 6.488 11.755 107.55 107.55 32.99
Fractional positions:
Tb 0.021 0.021 0.337
Tb 0.311 0.311 0.410
Tb 0.317 0.317 0.122
Tb 0.683 0.683 0.878
Tb 0.689 0.689 0.590
Tb 0.979 0.979 0.663
Sc 0.000 0.000 0.000
Hg 0.364 0.364 0.813
Hg 0.636 0.636 0.187

Electronic total energy   -0.29792 Ry per atom

---

(6)
A plane-wave DFT calculation with PBE was carried out for Tb3ScHg after structural relaxation.

Lattice parameters (Å, degrees): 6.583 6.583 7.836 107.54 107.54 66.67
Fractional positions:
Tb 0.053 0.053 0.232
Tb 0.092 0.586 0.360
Tb 0.414 0.908 0.640
Tb 0.586 0.092 0.360
Tb 0.908 0.414 0.640
Tb 0.947 0.947 0.768
Sc 0.439 0.439 0.757
Sc 0.561 0.561 0.243
Hg 0.268 0.268 0.999
Hg 0.732 0.732 0.001

Polymorph energy (0 for the lowest one)   0.00 eV per formula unit
Electronic total energy   -0.30901 Ry per atom

---

(7)
A plane-wave DFT calculation with PBE was carried out for TbScTlHg after structural relaxation.

Lattice parameters (Å, degrees): 7.349 7.349 7.349 90.00 90.00 90.00
Fractional positions:
Tb 0.000 0.000 0.000
Tb 0.000 0.500 0.500
Tb 0.500 0.000 0.500
Tb 0.500 0.500 0.000
Sc 0.000 0.000 0.500
Sc 0.000 0.500 0.000
Sc 0.500 0.000 0.000
Sc 0.500 0.500 0.500
Tl 0.250 0.250 0.250
Tl 0.250 0.750 0.750
Tl 0.750 0.250 0.750
Tl 0.750 0.750 0.250
Hg 0.250 0.250 0.750
Hg 0.250 0.750 0.250
Hg 0.750 0.250 0.250
Hg 0.750 0.750 0.750

Electronic total energy   -0.27805 Ry per atom

---

(8)
A plane-wave DFT calculation with PBE was carried out for TbYScHg after structural relaxation.

Lattice parameters (Å, degrees): 7.528 7.528 7.528 90.00 90.00 90.00
Fractional positions:
Tb 0.000 0.000 0.000
Tb 0.000 0.500 0.500
Tb 0.500 0.000 0.500
Tb 0.500 0.500 0.000
Y 0.000 0.000 0.500
Y 0.000 0.500 0.000
Y 0.500 0.000 0.000
Y 0.500 0.500 0.500
Sc 0.250 0.250 0.750
Sc 0.250 0.750 0.250
Sc 0.750 0.250 0.250
Sc 0.750 0.750 0.750
Hg 0.250 0.250 0.250
Hg 0.250 0.750 0.750
Hg 0.750 0.250 0.750
Hg 0.750 0.750 0.250

Electronic total energy   -0.33220 Ry per atom

---

(9)
A plane-wave DFT calculation with PBE was carried out for TbSc2ZnHg4 after structural relaxation.

Lattice parameters (Å, degrees): 9.071 9.071 9.071 31.34 31.34 31.34
Fractional positions:
Tb 0.000 0.000 0.000
Sc 0.241 0.241 0.241
Sc 0.759 0.759 0.759
Zn 0.500 0.500 0.500
Hg 0.125 0.125 0.125
Hg 0.382 0.382 0.382
Hg 0.618 0.618 0.618
Hg 0.875 0.875 0.875

Electronic total energy   -0.20488 Ry per atom

---

(10)
A plane-wave DFT calculation with PBE was carried out for ScTcHg2 after structural relaxation.

Lattice parameters (Å, degrees): 3.018 4.297 5.839 90.00 90.07 90.00
Fractional positions:
Sc 0.000 0.000 0.000
Tc 0.000 0.000 0.500
Hg 0.500 0.500 0.257
Hg 0.500 0.500 0.743

Polymorph energy (0 for the lowest one)   0.30 eV per formula unit
Electronic total energy   -0.30939 Ry per atom

---

(11)
A plane-wave DFT calculation with PBE was carried out for ScTcHg2 after structural relaxation.

Lattice parameters (Å, degrees): 4.160 4.160 8.836 90.00 90.00 90.00
Fractional positions:
Sc 0.000 0.000 0.000
Sc 0.500 0.500 0.500
Tc 0.000 0.500 0.750
Tc 0.500 0.000 0.250
Hg 0.000 0.000 0.500
Hg 0.000 0.500 0.250
Hg 0.500 0.000 0.750
Hg 0.500 0.500 0.000

Polymorph energy (0 for the lowest one)   0.28 eV per formula unit
Electronic total energy   -0.30967 Ry per atom

---

(12)
A plane-wave DFT calculation with PBE was carried out for ScTcHg2 after structural relaxation.

Lattice parameters (Å, degrees): 5.804 8.330 3.151 90.00 90.00 90.00
Fractional positions:
Sc 0.000 0.000 0.000
Sc 0.500 0.500 0.000
Tc 0.000 0.500 0.000
Tc 0.500 0.000 0.000
Hg 0.250 0.250 0.500
Hg 0.250 0.750 0.500
Hg 0.750 0.250 0.500
Hg 0.750 0.750 0.500

Polymorph energy (0 for the lowest one)   0.42 eV per formula unit
Electronic total energy   -0.30725 Ry per atom

---

Respective E_form values: -4.6 -2.0 -3.0 -1.1 -1.8 -0.5 -1.5 -0.4 -2.5 0.5 0.4 0.6 eV per formula unit.